Entry 1:
Computed, not measured: Co6P4Pb after structural relaxation at the PBE level of DFT.

Calculated values
* symmetry: P-6m2 (187)
* calculated total energy: -6.558 eV per atom

```
Co6P4Pb
1.0
3.426 0.000 0.000
0.000 3.341 5.785
0.000 -3.341 5.785
Co P Pb
6 4 1
Direct
0.000 0.465 0.070
0.500 0.799 0.403
0.000 0.465 0.465
0.000 0.070 0.465
0.500 0.403 0.799
0.500 0.799 0.799
0.500 0.606 0.197
0.500 0.197 0.197
0.500 0.197 0.606
0.000 0.667 0.667
0.000 0.000 0.000
```

Entry 2:
Computed, not measured: PrCo5P3 after structural relaxation at the PBE level of DFT.

Calculated values
* symmetry: Pnma (62)
* calculated total energy: -7.035 eV per atom

```
PrCo5P3
1.0
-4.108 -9.227 6.167
0.126 -2.089 -3.043
9.748 -2.790 2.318
Co P Pr
20 12 4
Direct
0.433 0.250 0.031
0.990 0.250 0.095
0.303 0.750 0.118
0.510 0.750 0.213
0.176 0.250 0.221
0.676 0.250 0.279
0.010 0.750 0.287
0.803 0.750 0.382
0.490 0.250 0.405
0.933 0.250 0.469
0.067 0.750 0.531
0.510 0.750 0.595
0.197 0.250 0.618
0.990 0.250 0.713
0.324 0.750 0.721
0.824 0.750 0.779
0.490 0.250 0.787
0.697 0.250 0.882
0.010 0.750 0.905
0.567 0.750 0.969
0.609 0.250 0.082
0.107 0.750 0.107
0.370 0.250 0.224
0.870 0.250 0.276
0.607 0.750 0.393
0.109 0.250 0.418
0.891 0.750 0.582
0.393 0.250 0.607
0.130 0.750 0.724
0.630 0.750 0.776
0.893 0.250 0.893
0.391 0.750 0.918
0.798 0.750 0.083
0.298 0.750 0.417
0.702 0.250 0.583
0.202 0.250 0.917
```

Entry 3:
Computed, not measured: PrCo4P12 after structural relaxation at the PBE level of DFT.

Calculated values
* symmetry: Im-3 (204)
* calculated total energy: -6.303 eV per atom

```
PrCo4P12
1.0
3.899 3.899 -3.899
3.899 -3.899 3.899
-3.899 -3.899 -3.899
Co P Pr
4 12 1
Direct
0.500 0.000 0.000
0.000 0.500 0.000
0.000 0.000 0.500
0.500 0.500 0.500
0.504 0.355 0.150
0.795 0.645 0.150
0.355 0.850 0.205
0.150 0.504 0.355
0.850 0.205 0.355
0.645 0.850 0.496
0.355 0.150 0.504
0.850 0.496 0.645
0.150 0.795 0.645
0.645 0.150 0.795
0.205 0.355 0.850
0.496 0.645 0.850
0.000 0.000 0.000
```